Density functional theory data (PBE) for a geometry-optimized SrSbTe2P structure.

Cell and atoms, written as POSCAR:
```
SrSbTe2P
1.0
6.127 0.000 0.000
0.000 6.127 0.000
0.000 0.000 6.381
Sr Sb Te P
1 1 2 1
direct
0.000 0.000 0.000
0.000 0.000 0.500
0.000 0.500 0.000
0.500 0.000 0.000
0.500 0.500 0.500
```

total moment = 1.2 μB/f.u.
electronic total energy = -2.564 eV/atom
raw formation energy = 0.936 eV/atom